# PBE-GGA TlPb2Br5, relaxed
# Crystal system = monoclinic
# Volume = 1070.0 Å³/cell
# DFT total energy = -0.2328 Ry per atom
# ΔE_f (raw) = -0.90 eV/atom
data_TlPb2Br5
_symmetry_space_group_name_H-M 'P 1 21/c 1'
_symmetry_Int_Tables_number 14
_symmetry_space_group_name_Hall '-P 2ybc'
_cell_length_a 9.3550
_cell_length_b 8.6063
_cell_length_c 13.2898
_cell_angle_alpha 90.00
_cell_angle_beta 90.09
_cell_angle_gamma 90.00
loop_
_atom_site_label
_atom_site_type_symbol
_atom_site_fract_x
_atom_site_fract_y
_atom_site_fract_z
Tl1 Tl 0.0098 0.0393 0.1746
Pb1 Pb 0.2443 0.5709 0.0047
Pb2 Pb 0.4830 0.0088 0.8241
Br1 Br 0.0416 0.1750 0.4179
Br2 Br 0.2605 0.1487 0.6870
Br3 Br 0.2682 0.6901 0.7826
Br4 Br 0.2804 0.5417 0.5038
Br5 Br 0.4580 0.1598 0.3985

=====

# PBE-GGA Tl2PbBr4, relaxed
# Crystal system = tetragonal
# Volume = 587.1 Å³/cell
# DFT total energy = -0.2196 Ry per atom
# ΔE_f (raw) = -0.83 eV/atom
data_Tl2PbBr4
_symmetry_space_group_name_H-M 'I 4/m m m'
_symmetry_Int_Tables_number 139
_symmetry_space_group_name_Hall '-I 4 2'
_cell_length_a 5.9659
_cell_length_b 5.9659
_cell_length_c 16.4943
_cell_angle_alpha 90.00
_cell_angle_beta 90.00
_cell_angle_gamma 90.00
loop_
_atom_site_label
_atom_site_type_symbol
_atom_site_fract_x
_atom_site_fract_y
_atom_site_fract_z
Tl1 Tl 0.0000 0.0000 0.1350
Pb1 Pb 0.0000 0.0000 0.5000
Br1 Br 0.0000 0.0000 0.3188
Br2 Br 0.0000 0.5000 0.0000

=====

# PBE-GGA TlPb2Br, relaxed
# Crystal system = cubic
# Volume = 493.4 Å³/cell
# DFT total energy = -0.2187 Ry per atom
# ΔE_f (raw) = -0.11 eV/atom
data_TlPb2Br
_symmetry_space_group_name_H-M 'F -4 3 m'
_symmetry_Int_Tables_number 216
_symmetry_space_group_name_Hall 'F -4 2 3'
_cell_length_a 7.9021
_cell_length_b 7.9021
_cell_length_c 7.9021
_cell_angle_alpha 90.00
_cell_angle_beta 90.00
_cell_angle_gamma 90.00
loop_
_atom_site_label
_atom_site_type_symbol
_atom_site_fract_x
_atom_site_fract_y
_atom_site_fract_z
Tl1 Tl 0.0000 0.0000 0.0000
Pb1 Pb 0.0000 0.0000 0.5000
Pb2 Pb 0.2500 0.2500 0.7500
Br1 Br 0.2500 0.2500 0.2500

=====

# PBE-GGA Tl2PbBr4, relaxed
# Crystal system = monoclinic
# Volume = 564.6 Å³/cell
# DFT total energy = -0.2233 Ry per atom
# ΔE_f (raw) = -0.88 eV/atom
data_Tl2PbBr4
_symmetry_space_group_name_H-M 'C 1 2/m 1'
_symmetry_Int_Tables_number 12
_symmetry_space_group_name_Hall '-C 2y'
_cell_length_a 16.1256
_cell_length_b 4.5222
_cell_length_c 8.7988
_cell_angle_alpha 90.00
_cell_angle_beta 118.37
_cell_angle_gamma 90.00
loop_
_atom_site_label
_atom_site_type_symbol
_atom_site_fract_x
_atom_site_fract_y
_atom_site_fract_z
Tl1 Tl 0.2039 0.0000 0.1854
Pb1 Pb 0.0000 0.5000 0.5000
Br1 Br 0.1134 0.5000 0.8911
Br2 Br 0.1319 0.0000 0.5045